[1]
This record from Alexandria describes an optimized crystal structure of ErTmCu. The functional is PBE-GGA.

The structure in POSCAR format:
```
ErTmCu
1.0
-1.0011 2.1635 -2.8619
-1.8044 -3.7774 -2.2245
-2.7304 2.5716 2.8992
Tm Cu Er
1 1 1
Cartesian
-0.0777 0.1679 -0.2220
-2.7494 1.1635 0.2544
-2.7087 -0.3737 -2.2196
```

Results
- DFT formation energy: 0.69 kcal/mol of atoms
- V: 24.2 Å³/atom



[2]
This record from Alexandria describes an optimized crystal structure of Tb2PrNdTm4. The functional is PBE-GGA.

The structure in POSCAR format:
```
Tb2PrNdTm4
1.0
-2.9705 -2.6471 8.6124
7.1604 -6.1645 0.8555
0.1789 10.8121 -4.6705
Tb Pr Nd Tm
4 2 2 8
Cartesian
-1.4852 -1.3236 4.3062
-1.3958 4.0825 1.9710
0.0895 5.4060 -2.3352
2.0949 -4.4058 4.7339
2.1844 1.0003 2.3987
-2.7916 8.1650 3.9419
3.5802 -3.0822 0.4278
0.6991 -0.3233 6.7049
4.6026 -5.2751 2.8198
-0.3791 1.8891 4.3557
4.7479 0.1115 0.4417
-0.2338 7.2757 1.9778
3.1495 -6.5787 7.0731
3.2459 -1.2399 4.7774
1.1230 3.2405 0.0200
1.2193 8.5792 -2.2757
```

Results
- DFT formation energy: 9.85 kcal/mol of atoms
- V: 33.1 Å³/atom



[3]
This record from Alexandria describes an optimized crystal structure of YThNi. The functional is PBE-GGA.

The structure in POSCAR format:
```
YThNi
1.0
3.7732 0.0000 0.0000
-1.8866 3.2677 0.0000
0.0000 0.0000 6.4301
Y Ni Th
1 1 1
Cartesian
0.0000 2.1785 3.8730
1.8866 1.0892 2.1080
0.0000 0.0000 0.4491
```

Results
- DFT formation energy: -3.23 kcal/mol of atoms
- V: 26.4 Å³/atom